(1)
# Ac3ZnCu3

Crystalline Ac3ZnCu3 at its relaxed geometry (GGA-PBE, Alexandria via LeMat-Bulk).

Lattice parameters (Å, degrees): 6.1489 8.9956 8.9956 120.00 90.00 90.00
Fractional coordinates of all 14 atoms:
Zn 0.2500 0.6667 0.3333
Zn 0.7500 0.3333 0.6667
Cu 0.7500 0.3149 0.3799
Cu 0.2500 0.9350 0.3149
Cu 0.7500 0.0650 0.6851
Cu 0.7500 0.6201 0.9350
Cu 0.2500 0.3799 0.0650
Cu 0.2500 0.6851 0.6201
Ac 0.7500 0.7000 0.6429
Ac 0.2500 0.0571 0.7000
Ac 0.7500 0.3571 0.0571
Ac 0.2500 0.3000 0.3571
Ac 0.2500 0.6429 0.9429
Ac 0.7500 0.9429 0.3000

ΔE to the lowest computed polymorph: 0.193 eV per atom
DFT formation energy: 0.033 eV/atom
space-group type: No. 176



(2)
# SrSe2I

Crystalline SrSe2I at its relaxed geometry (GGA-PBE, Alexandria via LeMat-Bulk).

Lattice parameters (Å, degrees): 8.6259 8.6259 8.6259 32.78 32.78 32.78
Fractional coordinates of all 4 atoms:
Se 0.8886 0.8886 0.8886
Se 0.1114 0.1114 0.1114
I 0.0000 0.0000 0.0000
Sr 0.5000 0.5000 0.5000

ΔE to the lowest computed polymorph: 0.000 eV per atom
formation energy from raw total energies: -0.7766 eV/atom
space-group type: No. 166



(3)
# Sn4RuCl2

Crystalline Sn4RuCl2 at its relaxed geometry (GGA-PBE, Alexandria via LeMat-Bulk).

Lattice parameters (Å, degrees): 4.9961 4.9961 9.7916 75.22 75.22 90.00
Fractional coordinates of all 7 atoms:
Cl 0.6381 0.6381 0.7238
Cl 0.3619 0.3619 0.2762
Sn 0.8549 0.8549 0.2903
Sn 0.0000 0.5000 0.0000
Sn 0.5000 0.0000 0.0000
Sn 0.1451 0.1451 0.7097
Ru 0.0000 0.0000 0.0000

formation energy from raw total energies: -0.2062 eV/atom
space-group type: No. 139